1.
## DyZrPb (PBE-GGA)

Data for a geometry-optimized DyZrPb structure.

* total magnetic moment: 0.002 μB per atom

abc: 4.4035 4.4035 8.3201
angles: 90.00 90.00 90.00
Space group P4/nmm (No. 129, origin choice 2)
Unique sites:
Dy 0.2500 0.2500 0.1636 (multiplicity 2)
Zr 0.2500 0.7500 0.5000 (multiplicity 2)
Pb 0.2500 0.2500 0.7733 (multiplicity 2)

2.
## Zn2GaSeS2 (PBE-GGA)

Data for a geometry-optimized Zn2GaSeS2 structure.

abc: 6.7353 11.8472 7.1657
angles: 90.00 111.28 90.00
Space group Cc (No. 9)
Unique sites:
Zn 0.0000 0.0729 0.0000 (multiplicity 4)
Zn 0.0253 0.2472 0.5092 (multiplicity 4)
Ga 0.0065 0.3897 0.9798 (multiplicity 4)
Se 0.3953 0.0715 0.1009 (multiplicity 4)
S 0.3948 0.4106 0.1397 (multiplicity 4)
S 0.4000 0.2698 0.6536 (multiplicity 4)

3.
## RbTl9Pd2 (PBE-GGA)

Data for a geometry-optimized RbTl9Pd2 structure.

abc: 9.6125 9.6125 4.5317
angles: 90.00 90.00 120.00
Space group P6/mmm (No. 191)
Unique sites:
Rb 0.0000 0.0000 0.0000 (multiplicity 1)
Tl 0.0000 0.5000 0.0000 (multiplicity 3)
Tl 0.2082 0.4164 0.5000 (multiplicity 6)
Pd 0.3333 0.6667 0.0000 (multiplicity 2)

4.
## LaPrGa2Pd4 (PBE-GGA)

Data for a geometry-optimized LaPrGa2Pd4 structure.

* total magnetic moment: 0.000 μB per atom

abc: 4.4829 4.4829 9.4815
angles: 90.00 90.00 120.00
Space group P-6m2 (No. 187)
Unique sites:
La 0.0000 0.0000 0.0000 (multiplicity 1)
Pr 0.3333 0.6667 0.5000 (multiplicity 1)
Ga 0.6667 0.3333 0.2530 (multiplicity 2)
Pd 0.0000 0.0000 0.3231 (multiplicity 2)
Pd 0.3333 0.6667 0.1777 (multiplicity 2)

5.
## Dy3As2P (PBE-GGA)

Data for a geometry-optimized Dy3As2P structure.

* total magnetic moment: 0.001 μB per atom

abc: 4.0790 4.0790 10.0037
angles: 90.00 90.00 120.00
Space group P-3m1 (No. 164)
Unique sites:
Dy 0.0000 0.0000 0.0000 (multiplicity 1)
Dy 0.3333 0.6667 0.6607 (multiplicity 2)
As 0.3333 0.6667 0.1691 (multiplicity 2)
P 0.0000 0.0000 0.5000 (multiplicity 1)

6.
## Lu2ZrBe (PBE-GGA)

Data for a geometry-optimized Lu2ZrBe structure.

* total magnetic moment: 0.254 μB per atom

abc: 7.0420 7.0420 7.0420
angles: 90.00 90.00 90.00
Space group F-43m (No. 216)
Unique sites:
Lu 0.0000 0.0000 0.0000 (multiplicity 4)
Lu 0.2500 0.2500 0.2500 (multiplicity 4)
Zr 0.2500 0.2500 0.7500 (multiplicity 4)
Be 0.0000 0.0000 0.5000 (multiplicity 4)

7.
## CsHoPbS3 (PBE-GGA)

Data for a geometry-optimized CsHoPbS3 structure.

* total magnetic moment: 0.001 μB per atom

abc: 4.0267 17.9029 11.6381
angles: 90.00 90.00 90.00
Space group Cmcm (No. 63)
Unique sites:
Cs 0.0000 0.1765 0.2500 (multiplicity 4)
Ho 0.0000 0.5000 0.0000 (multiplicity 4)
Pb 0.0000 0.1041 0.7500 (multiplicity 4)
S 0.0000 0.1013 0.5053 (multiplicity 8)
S 0.0000 0.4997 0.2500 (multiplicity 4)

8.
## AlCdW2 (PBE-GGA)

Data for a geometry-optimized AlCdW2 structure.

* total magnetic moment: 0.000 μB per atom

abc: 6.4257 6.4257 6.4257
angles: 90.00 90.00 90.00
Space group F-43m (No. 216)
Unique sites:
Al 0.0000 0.0000 0.0000 (multiplicity 4)
Cd 0.2500 0.2500 0.2500 (multiplicity 4)
W 0.0000 0.0000 0.5000 (multiplicity 4)
W 0.2500 0.2500 0.7500 (multiplicity 4)

9.
## Zr2CoSi2 (PBE-GGA)

Data for a geometry-optimized Zr2CoSi2 structure.

* total magnetic moment: 0.002 μB per atom

abc: 9.9408 3.8989 9.4847
angles: 90.00 118.49 90.00
Space group C2/m (No. 12)
Unique sites:
Zr 0.0030 0.0000 0.1757 (multiplicity 4)
Zr 0.1870 0.0000 0.6032 (multiplicity 4)
Co 0.2229 0.5000 0.8724 (multiplicity 4)
Si 0.0138 0.5000 0.3770 (multiplicity 4)
Si 0.1431 0.5000 0.0678 (multiplicity 4)

10.
## Cu7Ag3 (PBE-GGA)

Data for a geometry-optimized Cu7Ag3 structure.

* ΔE_f: 0.07 eV/atom

abc: 6.7259 2.7688 7.3867
angles: 90.00 97.29 90.00
Space group Pm (No. 6)
Unique sites:
Cu 0.0000 0.0000 0.0000 (multiplicity 1)
Cu 0.0395 0.5000 0.3038 (multiplicity 1)
Cu 0.1806 0.0000 0.5687 (multiplicity 1)
Cu 0.4925 0.5000 0.5389 (multiplicity 1)
Cu 0.6432 0.0000 0.7973 (multiplicity 1)
Cu 0.7746 0.0000 0.4365 (multiplicity 1)
Cu 0.9214 0.5000 0.7048 (multiplicity 1)
Ag 0.3096 0.5000 0.8769 (multiplicity 1)
Ag 0.3605 0.0000 0.2348 (multiplicity 1)
Ag 0.6885 0.5000 0.1114 (multiplicity 1)

11.
## Al2Mo (PBE-GGA)

Data for a geometry-optimized Al2Mo structure.

* total magnetic moment: 0.354 μB per atom

abc: 11.6036 11.6036 11.6036
angles: 90.00 90.00 90.00
Space group Fd-3m (No. 227, origin choice 2)
Unique sites:
Al 0.0000 0.0000 0.0000 (multiplicity 16)
Mo 0.1250 0.1250 0.1250 (multiplicity 8)

12.
## RbTmNiS3 (PBE-GGA)

Data for a geometry-optimized RbTmNiS3 structure.

* total magnetic moment: 0.212 μB per atom

abc: 8.9796 3.8939 9.4100
angles: 90.00 110.06 90.00
Space group P2_1/m (No. 11)
Unique sites:
Rb 0.2059 0.2500 0.2375 (multiplicity 2)
Tm 0.3311 0.7500 0.8592 (multiplicity 2)
Ni 0.0778 0.2500 0.5962 (multiplicity 2)
S 0.1215 0.2500 0.8493 (multiplicity 2)
S 0.1771 0.7500 0.5451 (multiplicity 2)
S 0.4675 0.7500 0.1582 (multiplicity 2)

13.
## Ta4Nb2Si3C3 (PBE-GGA)

Data for a geometry-optimized Ta4Nb2Si3C3 structure.

* total magnetic moment: 0.000 μB per atom

abc: 9.6681 5.5776 12.8225
angles: 90.00 104.54 90.00
Space group C2/c (No. 15)
Unique sites:
Ta 0.1154 0.0852 0.0961 (multiplicity 8)
Ta 0.2188 0.0826 0.4039 (multiplicity 8)
Nb 0.0498 0.4176 0.9019 (multiplicity 8)
Si 0.0000 0.0803 0.7500 (multiplicity 4)
Si 0.1679 0.4168 0.2502 (multiplicity 8)
C 0.0847 0.2459 0.5000 (multiplicity 8)
C 0.2500 0.2500 0.0000 (multiplicity 4)

14.
## Dy2Tc2O5 (PBE-GGA)

Data for a geometry-optimized Dy2Tc2O5 structure.

* total magnetic moment: 0.003 μB per atom

abc: 3.9637 3.9637 6.7322
angles: 90.00 90.00 90.00
Space group P4/mmm (No. 123)
Unique sites:
Dy 0.0000 0.0000 0.0000 (multiplicity 1)
Dy 0.0000 0.0000 0.5000 (multiplicity 1)
Tc 0.5000 0.5000 0.1731 (multiplicity 2)
O 0.0000 0.5000 0.2325 (multiplicity 4)
O 0.5000 0.5000 0.5000 (multiplicity 1)

15.
## AcBeNb (PBE-GGA)

Data for a geometry-optimized AcBeNb structure.

* total magnetic moment: 0.000 μB per atom

abc: 6.5674 6.5674 6.5674
angles: 90.00 90.00 90.00
Space group F-43m (No. 216)
Unique sites:
Ac 0.0000 0.0000 0.0000 (multiplicity 4)
Be 0.2500 0.2500 0.2500 (multiplicity 4)
Nb 0.0000 0.0000 0.5000 (multiplicity 4)

16.
## HfZr3Ni2 (PBE-GGA)

Data for a geometry-optimized HfZr3Ni2 structure.

* total magnetic moment: 0.003 μB per atom
* ΔE_f: -0.33 eV/atom

abc: 5.2109 9.0105 9.2656
angles: 90.00 90.00 90.00
Space group Fmm2 (No. 42)
Unique sites:
Hf 0.0000 0.0000 0.0000 (multiplicity 4)
Zr 0.0000 0.0000 0.6748 (multiplicity 4)
Zr 0.0000 0.1630 0.3366 (multiplicity 8)
Ni 0.2500 0.2500 0.0850 (multiplicity 8)

17.
## Nb2Al2Ir (PBE-GGA)

Data for a geometry-optimized Nb2Al2Ir structure.

* total magnetic moment: 0.000 μB per atom

abc: 3.4201 3.4201 14.9740
angles: 90.00 90.00 90.00
Space group I4/mmm (No. 139)
Unique sites:
Nb 0.0000 0.0000 0.0991 (multiplicity 4)
Al 0.0000 0.5000 0.2500 (multiplicity 4)
Ir 0.0000 0.0000 0.5000 (multiplicity 2)

18.
## TaZn2 (PBE-GGA)

Data for a geometry-optimized TaZn2 structure.

* total magnetic moment: 0.002 μB per atom
* ΔE_f: 0.05 eV/atom

abc: 2.8313 14.4579 4.6346
angles: 90.00 90.00 90.00
Space group Cmcm (No. 63)
Unique sites:
Ta 0.0000 0.0538 0.2500 (multiplicity 4)
Zn 0.0000 0.2774 0.7500 (multiplicity 4)
Zn 0.0000 0.3825 0.2500 (multiplicity 4)

19.
## RbNa2Au2 (PBE-GGA)

Data for a geometry-optimized RbNa2Au2 structure.

abc: 4.7485 4.7485 13.0109
angles: 90.00 90.00 90.00
Space group I4/mmm (No. 139)
Unique sites:
Rb 0.0000 0.0000 0.0000 (multiplicity 2)
Na 0.0000 0.5000 0.2500 (multiplicity 4)
Au 0.0000 0.0000 0.3930 (multiplicity 4)

20.
## GdErFe2 (PBE-GGA)

Data for a geometry-optimized GdErFe2 structure.

* total magnetic moment: 0.003 μB per atom
* ΔE_f: -0.01 eV/atom

abc: 3.8900 5.4851 7.6667
angles: 90.00 90.00 90.00
Space group Pmc2_1 (No. 26)
Unique sites:
Gd 0.0000 0.1411 0.0000 (multiplicity 2)
Er 0.5000 0.3577 0.6492 (multiplicity 2)
Fe 0.0000 0.3355 0.3539 (multiplicity 2)
Fe 0.5000 0.1787 0.2985 (multiplicity 2)

21.
## TcTe2 (PBE-GGA)

Data for a geometry-optimized TcTe2 structure.

* total magnetic moment: 0.001 μB per atom

abc: 6.7461 6.6326 6.8250
angles: 90.00 113.69 90.00
Space group P2_1/c (No. 14)
Unique sites:
Tc 0.2253 0.0009 0.2073 (multiplicity 4)
Te 0.1497 0.6430 0.3265 (multiplicity 4)
Te 0.3566 0.1357 0.6192 (multiplicity 4)

22.
## PrYZn6 (PBE-GGA)

Data for a geometry-optimized PrYZn6 structure.

* total magnetic moment: 0.001 μB per atom
* ΔE_f: -0.28 eV/atom

abc: 4.7465 6.7112 4.7477
angles: 90.00 90.00 90.00
Space group Pmm2 (No. 25)
Unique sites:
Pr 0.0000 0.0000 0.0000 (multiplicity 1)
Y 0.5000 0.5000 0.4936 (multiplicity 1)
Zn 0.0000 0.2593 0.5008 (multiplicity 2)
Zn 0.0000 0.5000 0.9992 (multiplicity 1)
Zn 0.5000 0.0000 0.4962 (multiplicity 1)
Zn 0.5000 0.2593 0.9931 (multiplicity 2)

23.
## PrTcAsO (PBE-GGA)

Data for a geometry-optimized PrTcAsO structure.

* total magnetic moment: 0.291 μB per atom

abc: 4.2515 4.2515 9.5019
angles: 90.00 90.00 90.00
Space group P4/nmm (No. 129, origin choice 2)
Unique sites:
Pr 0.2500 0.7500 0.0000 (multiplicity 2)
Tc 0.2500 0.2500 0.4712 (multiplicity 2)
As 0.2500 0.2500 0.2246 (multiplicity 2)
O 0.2500 0.7500 0.5000 (multiplicity 2)

24.
## Tm2NbP3 (PBE-GGA)

Data for a geometry-optimized Tm2NbP3 structure.

* total magnetic moment: 0.000 μB per atom

abc: 3.8002 3.8002 9.3351
angles: 90.00 90.00 120.00
Space group P-3m1 (No. 164)
Unique sites:
Tm 0.3333 0.6667 0.3231 (multiplicity 2)
Nb 0.0000 0.0000 0.0000 (multiplicity 1)
P 0.0000 0.0000 0.5000 (multiplicity 1)
P 0.3333 0.6667 0.8514 (multiplicity 2)

Number 1: total DFT energy (no corrections) -36.122 eV/cell. Number 2: total DFT energy (no corrections) -82.467 eV/cell. Number 3: total DFT energy (no corrections) -33.808 eV/cell. Number 4: total DFT energy (no corrections) -43.180 eV/cell. Number 5: total DFT energy (no corrections) -37.873 eV/cell. Number 6: total DFT energy (no corrections) -79.635 eV/cell. Number 7: total DFT energy (no corrections) -116.877 eV/cell. Number 8: total DFT energy (no corrections) -115.342 eV/cell. Number 9: total DFT energy (no corrections) -158.111 eV/cell. Number 10: total DFT energy (no corrections) -33.763 eV/cell. Number 11: total DFT energy (no corrections) -96.644 eV/cell. Number 12: total DFT energy (no corrections) -62.495 eV/cell. Number 13: total DFT energy (no corrections) -471.884 eV/cell. Number 14: total DFT energy (no corrections) -72.209 eV/cell. Number 15: total DFT energy (no corrections) -61.716 eV/cell. Number 16: total DFT energy (no corrections) -194.766 eV/cell. Number 17: total DFT energy (no corrections) -71.272 eV/cell. Number 18: total DFT energy (no corrections) -56.935 eV/cell. Number 19: total DFT energy (no corrections) -23.050 eV/cell. Number 20: total DFT energy (no corrections) -51.734 eV/cell. Number 21: total DFT energy (no corrections) -69.512 eV/cell. Number 22: total DFT energy (no corrections) -21.046 eV/cell. Number 23: total DFT energy (no corrections) -50.482 eV/cell. Number 24: total DFT energy (no corrections) -42.926 eV/cell.